VASP calculation (PBE) on an optimized crystal structure of CsTh2Au2S6.

Properties
The raw total energy is -5.417 eV/atom. The formation energy (no corrections) comes out at -1143 meV/atom.

abc: 7.557 7.577 7.910
angles: 62.77 61.50 65.01
Positions (direct):
1 Cs 0.000 0.000 0.000
2 Th 0.329 0.010 0.332
3 Th 0.671 0.990 0.668
4 Au 0.247 0.550 0.698
5 Au 0.753 0.450 0.302
6 S 0.065 0.762 0.470
7 S 0.363 0.231 0.923
8 S 0.454 0.776 0.659
9 S 0.546 0.224 0.341
10 S 0.637 0.769 0.077
11 S 0.935 0.238 0.530

***

VASP calculation (PBE) on an optimized crystal structure of Cs3Li2TmBr9.

Properties
The raw total energy is -3.336 eV/atom. The formation energy (no corrections) comes out at -1608 meV/atom.

abc: 7.808 7.808 9.734
angles: 90.00 90.00 120.00
Positions (direct):
1 Cs 0.000 0.000 0.000
2 Cs 0.333 0.667 0.674
3 Cs 0.667 0.333 0.326
4 Li 0.333 0.667 0.145
5 Li 0.667 0.333 0.855
6 Tm 0.000 0.000 0.500
7 Br 0.000 0.500 0.000
8 Br 0.166 0.333 0.336
9 Br 0.166 0.834 0.336
10 Br 0.333 0.166 0.664
11 Br 0.500 0.000 0.000
12 Br 0.500 0.500 0.000
13 Br 0.667 0.834 0.336
14 Br 0.834 0.166 0.664
15 Br 0.834 0.667 0.664

***

VASP calculation (PBE) on an optimized crystal structure of Mg2Hg6Pb3.

Properties
The raw total energy is -1.464 eV/atom.

abc: 9.113 9.113 9.113
angles: 109.47 109.47 109.47
Positions (direct):
1 Mg 0.000 0.000 0.500
2 Mg 0.000 0.500 0.000
3 Mg 0.500 0.000 0.000
4 Mg 0.500 0.500 0.500
5 Hg 0.000 0.339 0.661
6 Hg 0.000 0.661 0.339
7 Hg 0.323 0.661 0.661
8 Hg 0.339 0.000 0.661
9 Hg 0.339 0.339 0.677
10 Hg 0.339 0.661 0.000
11 Hg 0.339 0.677 0.339
12 Hg 0.661 0.000 0.339
13 Hg 0.661 0.323 0.661
14 Hg 0.661 0.339 0.000
15 Hg 0.661 0.661 0.323
16 Hg 0.677 0.339 0.339
17 Pb 0.000 0.237 0.237
18 Pb 0.000 0.763 0.763
19 Pb 0.237 0.000 0.237
20 Pb 0.237 0.237 0.000
21 Pb 0.763 0.000 0.763
22 Pb 0.763 0.763 0.000

***

VASP calculation (PBE) on an optimized crystal structure of ZnIn2Co.

Properties
The raw total energy is -3.220 eV/atom.

abc: 4.284 4.284 3.746
angles: 90.00 90.00 90.00
Positions (direct):
1 Zn 0.000 0.000 0.000
2 In 0.000 0.500 0.500
3 In 0.500 0.000 0.500
4 Co 0.500 0.500 0.000

***

VASP calculation (PBE) on an optimized crystal structure of Th2TlBr8.

Properties
The raw total energy is -4.238 eV/atom. The formation energy (no corrections) comes out at -1457 meV/atom.

abc: 8.167 8.167 5.865
angles: 96.17 96.17 111.56
Positions (direct):
1 Th 0.180 0.820 0.000
2 Th 0.820 0.180 0.000
3 Tl 0.500 0.500 0.500
4 Br 0.106 0.106 0.288
5 Br 0.174 0.443 0.922
6 Br 0.244 0.756 0.500
7 Br 0.443 0.174 0.922
8 Br 0.557 0.826 0.078
9 Br 0.756 0.244 0.500
10 Br 0.826 0.557 0.078
11 Br 0.894 0.894 0.712

***

VASP calculation (PBE) on an optimized crystal structure of K3Tl2Hg4Bi2.

Properties
The raw total energy is -1.737 eV/atom.

abc: 5.017 5.017 19.034
angles: 90.00 90.00 120.00
Positions (direct):
1 K 0.000 0.000 0.000
2 K 0.000 0.000 0.272
3 K 0.000 0.000 0.728
4 Tl 0.333 0.667 0.556
5 Tl 0.667 0.333 0.444
6 Hg 0.333 0.667 0.386
7 Hg 0.333 0.667 0.877
8 Hg 0.667 0.333 0.123
9 Hg 0.667 0.333 0.614
10 Bi 0.333 0.667 0.142
11 Bi 0.667 0.333 0.858

***

VASP calculation (PBE) on an optimized crystal structure of CsInFe2Br8.

Properties
The raw total energy is -3.595 eV/atom. The formation energy (no corrections) comes out at -770 meV/atom.

abc: 6.858 6.858 10.526
angles: 96.99 96.99 68.72
Positions (direct):
1 Cs 0.000 0.000 0.000
2 In 0.000 0.000 0.500
3 Fe 0.389 0.389 0.707
4 Fe 0.611 0.611 0.293
5 Br 0.233 0.726 0.301
6 Br 0.248 0.248 0.511
7 Br 0.274 0.767 0.699
8 Br 0.317 0.317 0.905
9 Br 0.683 0.683 0.095
10 Br 0.726 0.233 0.301
11 Br 0.752 0.752 0.489
12 Br 0.767 0.274 0.699

***

VASP calculation (PBE) on an optimized crystal structure of CsAlSbI2.

Properties
The raw total energy is -2.781 eV/atom. The formation energy (no corrections) comes out at -417 meV/atom.

abc: 6.062 6.062 5.443
angles: 90.00 90.00 90.00
Positions (direct):
1 Cs 0.000 0.000 0.000
2 Al 0.500 0.500 0.500
3 Sb 0.500 0.500 0.000
4 I 0.000 0.500 0.500
5 I 0.500 0.000 0.500

***

VASP calculation (PBE) on an optimized crystal structure of Ni2HgI2.

Properties
The raw total energy is -2.916 eV/atom. The formation energy (no corrections) comes out at 77 meV/atom.

abc: 10.258 10.258 10.258
angles: 158.18 158.18 31.05
Positions (direct):
1 Ni 0.250 0.750 0.500
2 Ni 0.750 0.250 0.500
3 Hg 0.000 0.000 0.000
4 I 0.337 0.337 0.000
5 I 0.663 0.663 0.000

***

VASP calculation (PBE) on an optimized crystal structure of MgGa.

Properties
The raw total energy is -2.448 eV/atom.

abc: 5.563 5.563 4.824
angles: 105.09 105.09 33.20
Positions (direct):
1 Mg 0.108 0.108 0.323
2 Mg 0.892 0.892 0.677
3 Ga 0.354 0.354 0.155
4 Ga 0.646 0.646 0.845

***

VASP calculation (PBE) on an optimized crystal structure of CdFeAgI2.

Properties
The raw total energy is -2.591 eV/atom. The formation energy (no corrections) comes out at 475 meV/atom.

abc: 5.431 5.431 5.203
angles: 90.00 90.00 90.00
Positions (direct):
1 Cd 0.000 0.000 0.000
2 Fe 0.000 0.000 0.500
3 Ag 0.500 0.500 0.000
4 I 0.000 0.500 0.500
5 I 0.500 0.000 0.500

***

VASP calculation (PBE) on an optimized crystal structure of PrYBeZn.

Properties
The raw total energy is -4.124 eV/atom.

abc: 5.058 5.058 5.058
angles: 60.00 60.00 60.00
Positions (direct):
1 Pr 0.000 0.000 0.000
2 Y 0.500 0.500 0.500
3 Be 0.750 0.750 0.750
4 Zn 0.250 0.250 0.250

***

VASP calculation (PBE) on an optimized crystal structure of LiZnAs2.

Properties
The raw total energy is -3.153 eV/atom.

abc: 3.653 3.653 5.270
angles: 90.00 90.00 90.00
Positions (direct):
1 Li 0.000 0.000 0.000
2 Zn 0.500 0.500 0.274
3 As 0.000 0.000 0.507
4 As 0.500 0.500 0.775

***

VASP calculation (PBE) on an optimized crystal structure of KZrMo2.

Properties
The raw total energy is -6.977 eV/atom. The energy above the most stable polymorph in this dataset is 296 meV per atom.

abc: 7.847 7.847 7.847
angles: 155.39 144.59 43.59
Positions (direct):
1 K 0.000 0.000 0.000
2 Zr 0.265 0.765 0.500
3 Mo 0.659 0.659 0.000
4 Mo 0.777 0.277 0.500

***

VASP calculation (PBE) on an optimized crystal structure of NiGe4Mo2.

Properties
The raw total energy is -5.948 eV/atom.

abc: 7.093 7.093 7.093
angles: 142.57 142.57 53.97
Positions (direct):
1 Ni 0.000 0.000 0.000
2 Ge 0.000 0.500 0.500
3 Ge 0.187 0.187 0.000
4 Ge 0.500 0.000 0.500
5 Ge 0.813 0.813 0.000
6 Mo 0.389 0.389 0.000
7 Mo 0.611 0.611 0.000

***

VASP calculation (PBE) on an optimized crystal structure of ScTl2GaCl6.

Properties
The raw total energy is -3.929 eV/atom. The formation energy (no corrections) comes out at -1412 meV/atom.

abc: 7.583 7.583 7.583
angles: 59.93 59.93 59.93
Positions (direct):
1 Sc 0.000 0.000 0.000
2 Tl 0.284 0.284 0.284
3 Tl 0.778 0.778 0.778
4 Ga 0.507 0.507 0.507
5 Cl 0.149 0.303 0.768
6 Cl 0.211 0.853 0.689
7 Cl 0.303 0.768 0.149
8 Cl 0.689 0.211 0.853
9 Cl 0.768 0.149 0.303
10 Cl 0.853 0.689 0.211

***

VASP calculation (PBE) on an optimized crystal structure of Sc2TaHg2.

Properties
The raw total energy is -4.541 eV/atom. The energy above the most stable polymorph in this dataset is 434 meV per atom.

abc: 7.069 7.069 7.069
angles: 145.98 145.98 48.88
Positions (direct):
1 Sc 0.250 0.750 0.500
2 Sc 0.750 0.250 0.500
3 Ta 0.000 0.000 0.000
4 Hg 0.398 0.398 0.000
5 Hg 0.602 0.602 0.000

***

VASP calculation (PBE) on an optimized crystal structure of HoErNp.

Properties
The raw total energy is -7.139 eV/atom.

abc: 8.587 8.587 5.703
angles: 99.94 99.94 23.77
Positions (direct):
1 Ho 0.066 0.066 0.290
2 Ho 0.934 0.934 0.710
3 Er 0.379 0.379 0.182
4 Er 0.621 0.621 0.818
5 Np 0.262 0.262 0.643
6 Np 0.738 0.738 0.357